<A>
VASP calculation (PBE) on a relaxed structure of TlTcCl2.

It has space group Amm2 (No. 38), with a = 3.223 Å, b = 4.719 Å, c = 13.628 Å, α = 90.00°, β = 90.00° and γ = 90.00°. The inequivalent atoms are Tl at (0.000, 0.000, 0.000), Tc at (0.500, 0.000, 0.526), Cl at (0.000, 0.000, 0.657) and Cl at (0.500, 0.000, 0.355).



<B>
VASP calculation (PBE) on a relaxed structure of TlTcCl2.

It has space group I4/mmm (No. 139), with a = 5.118 Å, b = 5.118 Å, c = 7.213 Å, α = 90.00°, β = 90.00° and γ = 90.00°. The inequivalent atoms are Tl at (0.000, 0.000, 0.000), Tc at (0.000, 0.000, 0.500) and Cl at (0.000, 0.500, 0.250).



Which one is most stable, and which one is least stable? <A> is the most stable of them, while <B> is the least stable.